# 1
## Tl2ZnCr (PBE-GGA)

Data for a relaxed Tl2ZnCr crystal.

It has space group Cmmm (No. 65), with a = 6.9219 Å, b = 6.9296 Å, c = 3.6604 Å, α = 90.00°, β = 90.00° and γ = 90.00°. The asymmetric unit holds Tl at (0.2500, 0.2500, 0.0000), Zn at (0.0000, 0.0000, 0.5000) and Cr at (0.0000, 0.5000, 0.5000).

For the calculated formation energy, the calculation gives 452 meV/atom. The calculation puts the magnetization at 8.28 Bohr magnetons per cell. The calculation puts the energy above the lowest structure with this stoichiometry at 93.1 meV/atom.

=====

# 2
## Tl2ZnCr (PBE-GGA)

Data for a relaxed Tl2ZnCr crystal.

It has space group I-4m2 (No. 119), with a = 4.3484 Å, b = 4.3484 Å, c = 9.3958 Å, α = 90.00°, β = 90.00° and γ = 90.00°. The asymmetric unit holds Tl at (0.0000, 0.0000, 0.0000), Tl at (0.0000, 0.5000, 0.2500), Zn at (0.0000, 0.5000, 0.7500) and Cr at (0.0000, 0.0000, 0.5000).

For the calculated formation energy, the calculation gives 471 meV/atom. The calculation puts the magnetization at 8.37 Bohr magnetons per cell. The calculation puts the energy above the lowest structure with this stoichiometry at 112.8 meV/atom.

=====

# 3
## Tl2ZnCr (PBE-GGA)

Data for a relaxed Tl2ZnCr crystal.

It has space group Pm (No. 6), with a = 3.6179 Å, b = 4.5792 Å, c = 5.6943 Å, α = 90.00°, β = 107.38° and γ = 90.00°. The asymmetric unit holds Tl at (0.0000, 0.0000, 0.0000), Tl at (0.2975, 0.5000, 0.6296), Zn at (0.5834, 0.5000, 0.1763) and Cr at (0.7143, 0.0000, 0.4528).

For the calculated formation energy, the calculation gives 411 meV/atom. The calculation puts the magnetization at 4.07 Bohr magnetons per cell. The calculation puts the energy above the lowest structure with this stoichiometry at 52.0 meV/atom.

=====

# 4
## Tl2ZnCr (PBE-GGA)

Data for a relaxed Tl2ZnCr crystal.

It has space group P2/m (No. 10), with a = 4.9809 Å, b = 3.3142 Å, c = 5.7901 Å, α = 90.00°, β = 112.13° and γ = 90.00°. The asymmetric unit holds Tl at (0.0000, 0.0000, 0.0000), Tl at (0.0000, 0.5000, 0.5000), Zn at (0.5000, 0.0000, 0.5000) and Cr at (0.5000, 0.5000, 0.0000).

For the calculated formation energy, the calculation gives 479 meV/atom. The calculation puts the magnetization at 3.93 Bohr magnetons per cell. The calculation puts the energy above the lowest structure with this stoichiometry at 120.6 meV/atom.

=====

# 5
## Tl2ZnCr (PBE-GGA)

Data for a relaxed Tl2ZnCr crystal.

It has space group Imm2 (No. 44), with a = 3.1664 Å, b = 4.8231 Å, c = 11.7820 Å, α = 90.00°, β = 90.00° and γ = 90.00°. The asymmetric unit holds Tl at (0.0000, 0.0000, 0.0000), Tl at (0.0000, 0.5000, 0.2167), Zn at (0.0000, 0.5000, 0.8087) and Cr at (0.0000, 0.0000, 0.4930).

For the calculated formation energy, the calculation gives 406 meV/atom. The calculation puts the magnetization at 7.15 Bohr magnetons per cell. The calculation puts the energy above the lowest structure with this stoichiometry at 47.5 meV/atom.

=====

# 6
## Tl2ZnCr (PBE-GGA)

Data for a relaxed Tl2ZnCr crystal.

It has space group I-42d (No. 122), with a = 7.5267 Å, b = 7.5267 Å, c = 5.9669 Å, α = 90.00°, β = 90.00° and γ = 90.00°. The asymmetric unit holds Tl at (0.2479, 0.2500, 0.1250), Zn at (0.0000, 0.0000, 0.5000) and Cr at (0.0000, 0.0000, 0.0000).

For the calculated formation energy, the calculation gives 930 meV/atom. The calculation puts the magnetization at 0.01 Bohr magnetons per cell. The calculation puts the energy above the lowest structure with this stoichiometry at 571.2 meV/atom.

=====

# 7
## Tl2ZnCr (PBE-GGA)

Data for a relaxed Tl2ZnCr crystal.

It has space group Fm-3m (No. 225), with a = 7.0723 Å, b = 7.0723 Å, c = 7.0723 Å, α = 90.00°, β = 90.00° and γ = 90.00°. The asymmetric unit holds Tl at (0.2500, 0.2500, 0.2500), Zn at (0.0000, 0.0000, 0.0000) and Cr at (0.0000, 0.0000, 0.5000).

For the calculated formation energy, the calculation gives 458 meV/atom. The calculation puts the magnetization at 16.14 Bohr magnetons per cell. The calculation puts the energy above the lowest structure with this stoichiometry at 99.4 meV/atom.

=====

# 8
## TlZn4Cr (PBE-GGA)

Data for a relaxed TlZn4Cr crystal.

It has space group F-43m (No. 216), with a = 7.4625 Å, b = 7.4625 Å, c = 7.4625 Å, α = 90.00°, β = 90.00° and γ = 90.00°. The asymmetric unit holds Tl at (0.0000, 0.0000, 0.0000), Zn at (0.1238, 0.1238, 0.6238) and Cr at (0.2500, 0.2500, 0.2500).

For the calculated formation energy, the calculation gives 221 meV/atom. The calculation puts the magnetization at 16.55 Bohr magnetons per cell.

=====

# 9
## Tl2ZnCr (PBE-GGA)

Data for a relaxed Tl2ZnCr crystal.

It has space group R-3m (No. 166, hexagonal axes), with a = 3.4168 Å, b = 3.4168 Å, c = 26.8852 Å, α = 90.00°, β = 90.00° and γ = 120.00°. The asymmetric unit holds Tl at (0.0000, 0.0000, 0.2501), Zn at (0.0000, 0.0000, 0.0000) and Cr at (0.0000, 0.0000, 0.5000).

For the calculated formation energy, the calculation gives 470 meV/atom. The calculation puts the magnetization at 13.24 Bohr magnetons per cell. The calculation puts the energy above the lowest structure with this stoichiometry at 111.4 meV/atom.

=====

# 10
## Tl2ZnCr (PBE-GGA)

Data for a relaxed Tl2ZnCr crystal.

It has space group C2/m (No. 12), with a = 9.2425 Å, b = 3.4237 Å, c = 5.7990 Å, α = 90.00°, β = 102.37° and γ = 90.00°. The asymmetric unit holds Tl at (0.2488, 0.0000, 0.2505), Zn at (0.0000, 0.5000, 0.0000) and Cr at (0.0000, 0.0000, 0.5000).

For the calculated formation energy, the calculation gives 480 meV/atom. The calculation puts the magnetization at 8.33 Bohr magnetons per cell. The calculation puts the energy above the lowest structure with this stoichiometry at 121.8 meV/atom.

=====

# 11
## Tl2ZnCr (PBE-GGA)

Data for a relaxed Tl2ZnCr crystal.

It has space group P4mm (No. 99), with a = 3.3233 Å, b = 3.3233 Å, c = 8.2170 Å, α = 90.00°, β = 90.00° and γ = 90.00°. The asymmetric unit holds Tl at (0.0000, 0.0000, 0.0000), Tl at (0.5000, 0.5000, 0.3333), Zn at (0.0000, 0.0000, 0.5947) and Cr at (0.5000, 0.5000, 0.7548).

For the calculated formation energy, the calculation gives 359 meV/atom. The calculation puts the magnetization at 4.00 Bohr magnetons per cell. The calculation puts the energy above the lowest structure with this stoichiometry at 0.0 meV/atom.

=====

# 12
## ZrTlCr2 (PBE-GGA)

Data for a relaxed ZrTlCr2 crystal.

It has space group P2/m (No. 10), with a = 3.0366 Å, b = 4.5417 Å, c = 5.4962 Å, α = 90.00°, β = 94.98° and γ = 90.00°. The asymmetric unit holds Zr at (0.0000, 0.0000, 0.0000), Tl at (0.5000, 0.0000, 0.5000) and Cr at (0.3556, 0.5000, 0.8292).

For the calculated formation energy, the calculation gives 470 meV/atom. The calculation puts the magnetization at 0.00 Bohr magnetons per cell. The calculation puts the energy above the lowest structure with this stoichiometry at 270.0 meV/atom.